Record 1
Crystalline LaY2Co2 at its relaxed geometry. Source: Alexandria, functional PBE-GGA.

Lattice parameters (Å, degrees): 7.1227 7.1227 4.4622 90.00 90.00 90.00
Last column: nearest neighbours and their distance in Å.
Fractional coordinates of all 10 atoms:
Y1 0.1678 0.6678 0.5000  6 Co 3.01-3.15
Y2 0.8322 0.3322 0.5000  6 Co 3.01-3.15
Y3 0.6678 0.8322 0.5000  6 Co 3.01-3.15
Y4 0.3322 0.1678 0.5000  6 Co 3.01-3.15
Co1 0.1109 0.3891 0.0000  1 Co 2.23
Co2 0.3891 0.8891 0.0000  1 Co 2.23
Co3 0.8891 0.6109 0.0000  1 Co 2.23
Co4 0.6109 0.1109 0.0000  1 Co 2.23
La1 0.5000 0.5000 0.0000  4 Co 2.88
La2 0.0000 0.0000 0.0000  4 Co 2.88

Total DFT energy (no corrections): -6.48 eV/atom
Symmetry: No. 127

***

Record 2
Crystalline YHfTaN3 at its relaxed geometry. Source: Alexandria, functional PBE-GGA.

Lattice parameters (Å, degrees): 3.2423 5.6143 8.3800 102.80 90.00 90.00
Last column: nearest neighbours and their distance in Å.
Fractional coordinates of all 12 atoms:
Hf1 0.2500 0.7669 0.0479  6 N 2.21-2.31
Hf2 0.7500 0.2331 0.9521  6 N 2.21-2.31
Y1 0.2500 0.3511 0.3095  7 N 2.39-2.52
Y2 0.7500 0.6489 0.6905  7 N 2.39-2.52
N1 0.2500 0.4414 0.8411  1 Ta 2.18, 3 Hf 2.22-2.31
N2 0.2500 0.9602 0.8457  1 Ta 2.17, 3 Hf 2.21-2.27
N3 0.2500 0.7440 0.4919  3 Ta 2.15-2.21, 1 Y 2.39
N4 0.7500 0.2560 0.5081  3 Ta 2.15-2.21, 1 Y 2.39
N5 0.7500 0.0398 0.1543  1 Ta 2.17, 3 Hf 2.21-2.27
N6 0.7500 0.5586 0.1589  1 Ta 2.18, 3 Hf 2.22-2.31
Ta1 0.2500 0.1260 0.6354  5 N 2.15-2.21
Ta2 0.7500 0.8740 0.3646  5 N 2.15-2.21

Total DFT energy (no corrections): -10.41 eV/atom
Symmetry: No. 11
Formation energy from raw total energies: -1.53 eV per atom

***

Record 3
Crystalline Ac3Sb at its relaxed geometry. Source: Alexandria, functional PBE-GGA.

Lattice parameters (Å, degrees): 4.2982 6.0110 7.1817 114.74 107.41 90.00
Last column: nearest neighbours and their distance in Å.
Fractional coordinates of all 4 atoms:
Ac1 0.5000 0.4391 0.0000  4 Sb 3.56-3.83, 2 Ac 3.74
Ac2 0.7134 0.0942 0.4268  2 Sb 3.43, 5 Ac 3.74-3.80
Ac3 0.2866 0.6674 0.5732  2 Sb 3.43, 5 Ac 3.74-3.80
Sb1 0.0000 0.9660 0.0000  8 Ac 3.43-3.83

Total DFT energy (no corrections): -4.56 eV/atom
Symmetry: No. 44
Formation energy from raw total energies: -0.45 eV per atom

***

Record 4
Crystalline Cs4Tb3PmTe8 at its relaxed geometry. Source: Alexandria, functional PBE-GGA.

Lattice parameters (Å, degrees): 9.1812 10.3856 9.1816 116.24 120.00 90.00
Last column: nearest neighbours and their distance in Å.
Fractional coordinates of all 16 atoms:
Te1 0.7261 0.6915 0.9588  2 Tb 3.14, 1 Pm 3.18
Te2 0.7673 0.3085 0.5345  2 Tb 3.14, 1 Pm 3.18
Te3 0.2327 0.6915 0.4655  2 Tb 3.14, 1 Pm 3.18
Te4 0.7672 0.3085 0.0412  2 Tb 3.14, 1 Pm 3.18
Te5 0.7299 0.6896 0.4598  3 Tb 3.15
Te6 0.2328 0.6915 0.9588  2 Tb 3.14, 1 Pm 3.18
Te7 0.2739 0.3085 0.0412  2 Tb 3.14, 1 Pm 3.18
Te8 0.2701 0.3104 0.5402  3 Tb 3.15
Cs1 0.5000 0.0000 0.5000  6 Te 3.83-3.84
Cs2 0.5000 0.0000 0.0000  6 Te 3.80
Cs3 0.0000 0.0000 0.0000  6 Te 3.83-3.84
Cs4 0.0000 0.0000 0.5000  6 Te 3.83-3.84
Tb1 0.5000 0.5000 0.5000  6 Te 3.14-3.15
Tb2 0.0000 0.5000 0.5000  6 Te 3.14-3.15
Tb3 0.5000 0.5000 0.0000  6 Te 3.14-3.15
Pm1 0.0000 0.5000 0.0000  6 Te 3.18

Total DFT energy (no corrections): -4.35 eV/atom
Symmetry: No. 166
Formation energy from raw total energies: -1.40 eV per atom

***

Record 5
Crystalline LiH7Pd12 at its relaxed geometry. Source: Alexandria, functional PBE-GGA.

Lattice parameters (Å, degrees): 6.3856 6.3865 6.3861 107.51 107.50 107.51
Last column: nearest neighbours and their distance in Å.
Fractional coordinates of all 20 atoms:
H1 0.3825 0.1264 0.0578  4 Pd 1.87-2.02
H2 0.5000 0.5000 0.5000  6 Pd 2.03
H3 0.8735 0.9423 0.6176  4 Pd 1.87-2.01
H4 0.6175 0.8736 0.9422  4 Pd 1.87-2.02
H5 0.0579 0.3825 0.1265  4 Pd 1.87-2.02
H6 0.9421 0.6175 0.8735  4 Pd 1.87-2.02
H7 0.1265 0.0577 0.3825  4 Pd 1.87-2.01
Pd1 0.0753 0.6959 0.2301  2 H 1.87-2.01
Pd2 0.2301 0.0753 0.6959  2 H 1.87-2.01
Pd3 0.9247 0.3041 0.7699  2 H 1.87-2.01
Pd4 0.3041 0.7698 0.9247  2 H 1.87-2.01
Pd5 0.1515 0.3844 0.4581  3 H 1.94-2.03
Pd6 0.4581 0.1515 0.3844  3 H 1.94-2.03
Pd7 0.6959 0.2301 0.0753  2 H 1.87-2.01
Pd8 0.8485 0.6156 0.5419  3 H 1.94-2.03
Pd9 0.5419 0.8484 0.6156  3 H 1.94-2.03
Pd10 0.6156 0.5419 0.8484  3 H 1.94-2.03
Pd11 0.3844 0.4581 0.1516  3 H 1.94-2.03
Pd12 0.7699 0.9247 0.3041  2 H 1.87-2.01
Li1 0.0000 0.0000 0.0000  6 H 2.20

Total DFT energy (no corrections): -4.52 eV/atom
Symmetry: No. 148

***

Record 6
Crystalline La2TlF2 at its relaxed geometry. Source: Alexandria, functional PBE-GGA.

Lattice parameters (Å, degrees): 8.1471 8.1471 3.2045 90.00 90.00 90.00
Last column: nearest neighbours and their distance in Å.
Fractional coordinates of all 10 atoms:
La1 0.1706 0.6706 0.5000  6 F 2.82-3.02
La2 0.8294 0.3294 0.5000  6 F 2.82-3.02
La3 0.6706 0.8294 0.5000  6 F 2.82-3.02
La4 0.3294 0.1706 0.5000  6 F 2.82-3.02
F1 0.6068 0.1068 0.0000  1 F 2.46
F2 0.8932 0.6068 0.0000  1 F 2.46
F3 0.1068 0.3932 0.0000  1 F 2.46
F4 0.3932 0.8932 0.0000  1 F 2.46
Tl1 0.0000 0.0000 0.0000  2 Tl 3.20, 4 F 3.32, 8 La 3.42
Tl2 0.5000 0.5000 0.0000  2 Tl 3.20, 4 F 3.32, 8 La 3.42

Total DFT energy (no corrections): -5.11 eV/atom
Symmetry: No. 127
Formation energy from raw total energies: -1.91 eV per atom

***

Record 7
Crystalline K2Rb5O at its relaxed geometry. Source: Alexandria, functional PBE-GGA.

Lattice parameters (Å, degrees): 5.5929 12.6284 16.7445 90.00 90.00 102.79
Last column: nearest neighbours and their distance in Å.
Fractional coordinates of all 16 atoms:
K1 0.1271 0.2542 0.6232  1 K 4.25, 4 Rb 4.57-4.68
K2 0.8729 0.7458 0.3768  1 K 4.25, 4 Rb 4.57-4.68
K3 0.8729 0.7458 0.1232  1 K 4.25, 4 Rb 4.57-4.68
K4 0.1271 0.2542 0.8768  1 K 4.25, 4 Rb 4.57-4.68
Rb1 0.0582 0.1164 0.1331  1 O 2.77
Rb2 0.2204 0.4409 0.1293  1 O 2.87
Rb3 0.0582 0.1164 0.3669  1 O 2.77
Rb4 0.9418 0.8836 0.6331  1 O 2.77
Rb5 0.7796 0.5591 0.6293  1 O 2.87
Rb6 0.2204 0.4409 0.3707  1 O 2.87
Rb7 0.3549 0.7099 0.7500  2 O 2.80
Rb8 0.7796 0.5591 0.8707  1 O 2.87
Rb9 0.6451 0.2901 0.2500  2 O 2.80
Rb10 0.9418 0.8836 0.8669  1 O 2.77
O1 0.1380 0.2759 0.2500  6 Rb 2.77-2.87
O2 0.8620 0.7241 0.7500  6 Rb 2.77-2.87

Total DFT energy (no corrections): -1.80 eV/atom
Symmetry: No. 63
Formation energy from raw total energies: -0.30 eV per atom

***

Record 8
Crystalline LiNd4Pu3S8 at its relaxed geometry. Source: Alexandria, functional PBE-GGA.

Lattice parameters (Å, degrees): 8.0143 8.0108 8.0145 120.01 120.00 90.00
Last column: nearest neighbours and their distance in Å.
Fractional coordinates of all 16 atoms:
S1 0.2447 0.7390 0.4894  1 Li 2.77, 2 Pu 2.80, 3 Nd 2.87-2.89
S2 0.2447 0.7390 0.9943  1 Li 2.77, 2 Pu 2.80, 3 Nd 2.87-2.89
S3 0.2504 0.2610 0.0057  1 Li 2.77, 2 Pu 2.80, 3 Nd 2.87-2.89
S4 0.7463 0.7390 0.4927  3 Pu 2.79, 3 Nd 2.88
S5 0.2537 0.2610 0.5073  3 Pu 2.79, 3 Nd 2.88
S6 0.7496 0.7390 0.9943  1 Li 2.77, 2 Pu 2.80, 3 Nd 2.87-2.89
S7 0.7553 0.2610 0.0057  1 Li 2.77, 2 Pu 2.80, 3 Nd 2.87-2.89
S8 0.7553 0.2610 0.5106  1 Li 2.77, 2 Pu 2.80, 3 Nd 2.87-2.89
Pu1 0.0000 0.5000 0.5000  6 S 2.79-2.80
Pu2 0.5000 0.5000 0.5000  6 S 2.79-2.80
Pu3 0.5000 0.5000 0.0000  6 S 2.79-2.80
Nd1 0.0000 0.0000 0.5000  6 S 2.87-2.88
Nd2 0.5000 0.0000 0.5000  6 S 2.87-2.88
Nd3 0.5000 0.0000 0.0000  6 S 2.89
Nd4 0.0000 0.0000 0.0000  6 S 2.87-2.88
Li1 0.0000 0.5000 0.0000  6 S 2.77

Total DFT energy (no corrections): -7.94 eV/atom
Symmetry: No. 166
Formation energy from raw total energies: -1.87 eV per atom

***

Record 9
Crystalline PmZnNiHg at its relaxed geometry. Source: Alexandria, functional PBE-GGA.

Lattice parameters (Å, degrees): 4.7872 4.7872 4.7872 60.00 60.00 60.00
Last column: nearest neighbours and their distance in Å.
Fractional coordinates of all 4 atoms:
Pm1 0.5000 0.5000 0.5000  4 Ni 2.93, 4 Zn 2.93
Zn1 0.7500 0.7500 0.7500  4 Hg 2.93, 4 Pm 2.93
Ni1 0.2500 0.2500 0.2500  4 Hg 2.93, 4 Pm 2.93
Hg1 0.0000 0.0000 0.0000  4 Zn 2.93, 4 Ni 2.93

Total DFT energy (no corrections): -3.22 eV/atom
Symmetry: No. 216

***

Record 10
Crystalline TlAuI3 at its relaxed geometry. Source: Alexandria, functional PBE-GGA.

Lattice parameters (Å, degrees): 5.7399 5.7399 5.7399 90.00 90.00 90.00
Last column: nearest neighbours and their distance in Å.
Fractional coordinates of all 5 atoms:
I1 0.5000 0.0000 0.0000  2 Au 2.87
I2 0.0000 0.0000 0.5000  2 Au 2.87
I3 0.0000 0.5000 0.0000  2 Au 2.87
Au1 0.0000 0.0000 0.0000  6 I 2.87
Tl1 0.5000 0.5000 0.5000  12 I 4.06

Total DFT energy (no corrections): -2.30 eV/atom
Symmetry: No. 221
Formation energy from raw total energies: -0.24 eV per atom

***

What did the tenth record say?
Crystalline TlAuI3 at its relaxed geometry. Source: Alexandria, functional PBE-GGA.

Lattice parameters (Å, degrees): 5.7399 5.7399 5.7399 90.00 90.00 90.00
Last column: nearest neighbours and their distance in Å.
Fractional coordinates of all 5 atoms:
I1 0.5000 0.0000 0.0000  2 Au 2.87
I2 0.0000 0.0000 0.5000  2 Au 2.87
I3 0.0000 0.5000 0.0000  2 Au 2.87
Au1 0.0000 0.0000 0.0000  6 I 2.87
Tl1 0.5000 0.5000 0.5000  12 I 4.06

Total DFT energy (no corrections): -2.30 eV/atom
Symmetry: No. 221
Formation energy from raw total energies: -0.24 eV per atom

***

What did the fifth record say?
Crystalline LiH7Pd12 at its relaxed geometry. Source: Alexandria, functional PBE-GGA.

Lattice parameters (Å, degrees): 6.3856 6.3865 6.3861 107.51 107.50 107.51
Last column: nearest neighbours and their distance in Å.
Fractional coordinates of all 20 atoms:
H1 0.3825 0.1264 0.0578  4 Pd 1.87-2.02
H2 0.5000 0.5000 0.5000  6 Pd 2.03
H3 0.8735 0.9423 0.6176  4 Pd 1.87-2.01
H4 0.6175 0.8736 0.9422  4 Pd 1.87-2.02
H5 0.0579 0.3825 0.1265  4 Pd 1.87-2.02
H6 0.9421 0.6175 0.8735  4 Pd 1.87-2.02
H7 0.1265 0.0577 0.3825  4 Pd 1.87-2.01
Pd1 0.0753 0.6959 0.2301  2 H 1.87-2.01
Pd2 0.2301 0.0753 0.6959  2 H 1.87-2.01
Pd3 0.9247 0.3041 0.7699  2 H 1.87-2.01
Pd4 0.3041 0.7698 0.9247  2 H 1.87-2.01
Pd5 0.1515 0.3844 0.4581  3 H 1.94-2.03
Pd6 0.4581 0.1515 0.3844  3 H 1.94-2.03
Pd7 0.6959 0.2301 0.0753  2 H 1.87-2.01
Pd8 0.8485 0.6156 0.5419  3 H 1.94-2.03
Pd9 0.5419 0.8484 0.6156  3 H 1.94-2.03
Pd10 0.6156 0.5419 0.8484  3 H 1.94-2.03
Pd11 0.3844 0.4581 0.1516  3 H 1.94-2.03
Pd12 0.7699 0.9247 0.3041  2 H 1.87-2.01
Li1 0.0000 0.0000 0.0000  6 H 2.20

Total DFT energy (no corrections): -4.52 eV/atom
Symmetry: No. 148